1.
Below is a geometry-optimized SrAl3Ag structure, with properties calculated at the PBE level.

Properties
Size of the total moment: 0.00 Bohr magnetons per cell
Calculated formation energy: -282 meV/atom
SG: Cmcm (63)

Unit cell a=6.473 b=6.473 c=6.113 alpha=90.00 beta=90.00 gamma=59.77
Fractional positions:
Al 0.431 0.633 0.052
Al 0.504 0.260 0.802
Al 0.504 0.260 0.302
Al 0.130 0.333 0.552
Al 0.057 0.706 0.802
Al 0.057 0.706 0.302
Sr 0.540 0.743 0.552
Sr 0.020 0.223 0.052
Ag 0.896 0.099 0.552
Ag 0.664 0.867 0.052


2.
Below is a geometry-optimized Rb2TlP structure, with properties calculated at the PBE level.

Properties
Size of the total moment: 0.00 Bohr magnetons per cell
E above lowest polymorph: 0.0 meV per atom
Calculated formation energy: 67 meV/atom
SG: Fm-3m (225)

Unit cell a=5.846 b=5.846 c=5.846 alpha=60.00 beta=60.00 gamma=60.00
Fractional positions:
Tl 0.500 0.500 0.500
P 0.000 0.000 0.000
Rb 0.250 0.250 0.250
Rb 0.750 0.750 0.750


3.
Below is a geometry-optimized NaTePdN2 structure, with properties calculated at the PBE level.

Properties
E_form (uncorrected): 1.2195 eV per atom
Size of the total moment: 0.19 Bohr magnetons per cell
E above lowest polymorph: 0.0 meV per atom
SG: P4/mmm (123)

Unit cell a=4.047 b=4.047 c=5.682 alpha=90.00 beta=90.00 gamma=90.00
Site moments in Bohr magnetons follow the coordinates.
Fractional positions:
Pd 0.000 0.000 0.000  0.02
Te 0.000 0.000 0.500  0.05
N 0.000 0.500 0.000  0.03
N 0.500 0.000 0.000  0.03
Na 0.500 0.500 0.500  0.00


4.
Below is a geometry-optimized ScAu2 structure, with properties calculated at the PBE level.

Properties
Size of the total moment: 0.00 Bohr magnetons per cell
Calculated formation energy: -814 meV/atom
SG: I4/mmm (139)

Unit cell a=3.573 b=3.573 c=5.084 alpha=110.57 beta=110.57 gamma=90.00
Fractional positions:
Au 0.837 0.837 0.674
Au 0.163 0.163 0.326
Sc 0.500 0.500 0.000


5.
Below is a geometry-optimized SnAsPd structure, with properties calculated at the PBE level.

Properties
Size of the total moment: 0.00 Bohr magnetons per cell
E above lowest polymorph: 173.5 meV per atom
Calculated formation energy: -177 meV/atom
SG: P-1 (2)

Unit cell a=4.244 b=6.193 c=6.482 alpha=125.69 beta=97.40 gamma=107.42
Fractional positions:
Pd 0.471 0.038 0.759
Pd 0.529 0.962 0.241
Sn 0.886 0.650 0.249
Sn 0.114 0.350 0.751
As 0.000 0.000 0.000
As 0.500 0.500 0.500


6.
Below is a geometry-optimized CaMg2Ag2 structure, with properties calculated at the PBE level.

Properties
Size of the total moment: 0.00 Bohr magnetons per cell
E above lowest polymorph: 48.2 meV per atom
Calculated formation energy: -177 meV/atom
SG: I4/mmm (139)

Unit cell a=4.658 b=4.658 c=11.596 alpha=101.59 beta=101.59 gamma=90.00
Fractional positions:
Ca 0.369 0.369 0.739
Ca 0.631 0.631 0.261
Ag 0.069 0.069 0.138
Ag 0.250 0.750 0.500
Ag 0.750 0.250 0.500
Ag 0.931 0.931 0.862
Mg 0.500 0.000 0.000
Mg 0.813 0.813 0.625
Mg 0.000 0.500 0.000
Mg 0.187 0.187 0.375


7.
Below is a geometry-optimized InCu2Br structure, with properties calculated at the PBE level.

Properties
E_form (uncorrected): 0.3275 eV per atom
Size of the total moment: 0.00 Bohr magnetons per cell
E above lowest polymorph: 326.5 meV per atom
SG: Cmmm (65)

Unit cell a=4.920 b=4.920 c=3.320 alpha=90.00 beta=90.00 gamma=108.87
Fractional positions:
In 0.500 0.000 0.500
Cu 0.500 0.500 0.000
Cu 0.000 0.000 0.000
Br 0.000 0.500 0.500


8.
Below is a geometry-optimized Dy5HoS6 structure, with properties calculated at the PBE level.

Properties
E_form (uncorrected): -1.9931 eV per atom
Size of the total moment: 0.00 Bohr magnetons per cell
SG: C2/m (12)

Unit cell a=6.746 b=6.755 c=6.769 alpha=60.07 beta=80.33 gamma=70.32
Fractional positions:
Dy 0.000 0.333 0.334
Dy 0.500 0.500 0.000
Dy 0.500 0.833 0.335
Dy 0.000 0.667 0.666
Dy 0.500 0.167 0.665
S 0.751 0.415 0.668
S 0.249 0.917 0.668
S 0.249 0.585 0.332
S 0.250 0.249 0.000
S 0.751 0.083 0.332
S 0.750 0.751 0.000
Ho 0.000 0.000 0.000